# Ce2ThScS4

A relaxed Ce2ThScS4 crystal (PBE, Alexandria).

Computed properties:
Calculated density, g/cm³: 6.5
Magnetic moment, μB per cell: 1.130
ΔE_f (raw), eV per atom: -1.923
V, Å³/atom: 21.87
Crystal system: monoclinic
VASP energy, eV per atom: -7.189

Lattice parameters (Å, degrees): 3.9433 6.8948 6.8142 109.19 90.00 90.00
Site moments in Bohr magnetons follow the coordinates.
Fractional coordinates of all 8 atoms:
Ce1 0.5000 0.0000 0.5000  0.29
Th1 0.5000 0.5000 0.0000  0.01
S1 0.5000 0.7699 0.7674  -0.01
S2 0.5000 0.2301 0.2326  -0.01
Sc1 0.0000 0.0000 0.0000  -0.01
S3 0.0000 0.2370 0.7575  -0.01
S4 0.0000 0.7630 0.2425  -0.01
Ce2 0.0000 0.5000 0.5000  0.66

***

# Cs4Se

A relaxed Cs4Se crystal (PBE, Alexandria).

Computed properties:
Calculated density, g/cm³: 2.6
Polymorph energy (0 for the lowest one), kcal/mol of atoms: 1.00
Magnetic moment, μB per cell: 0.000
ΔE_f (raw), eV per atom: -0.552
V, Å³/atom: 77.05
Crystal system: cubic
VASP energy, eV per atom: -1.931

Lattice parameters (Å, degrees): 7.2765 7.2765 7.2765 90.00 90.00 90.00
Fractional coordinates of all 5 atoms:
Cs1 0.5000 0.5000 0.0000
Cs2 0.5000 0.0000 0.5000
Cs3 0.0000 0.5000 0.5000
Cs4 0.0000 0.0000 0.0000
Se1 0.5000 0.5000 0.5000

***

# Ta5AlRu6

A relaxed Ta5AlRu6 crystal (PBE, Alexandria).

Computed properties:
Calculated density, g/cm³: 13.6
Formation energy, eV per atom: -0.455
Magnetic moment, μB per cell: 0.000
V, Å³/atom: 15.60
Crystal system: orthorhombic
VASP energy, eV per atom: -10.343

Lattice parameters (Å, degrees): 4.3542 7.6112 7.6112 117.27 106.63 106.63
Fractional coordinates of all 12 atoms:
Ru1 0.2384 0.4058 0.0710
Al1 0.0000 0.0000 0.0000
Ru2 0.7616 0.9290 0.5942
Ta1 0.5000 0.5000 0.5000
Ru3 0.2708 0.7707 0.7707
Ru4 0.7292 0.2293 0.2293
Ta2 0.5000 0.8307 0.1693
Ta3 0.5000 0.1693 0.8307
Ta4 0.0000 0.3451 0.6549
Ru5 0.7616 0.5942 0.9290
Ru6 0.2384 0.0710 0.4058
Ta5 0.0000 0.6549 0.3451

***

# TaTlBr

A relaxed TaTlBr crystal (PBE, Alexandria).

Computed properties:
Calculated density, g/cm³: 10.1
Polymorph energy (0 for the lowest one), kcal/mol of atoms: 20.49
Magnetic moment, μB per cell: 0.000
ΔE_f (raw), eV per atom: 1.022
V, Å³/atom: 25.55
Crystal system: cubic
VASP energy, eV per atom: -4.275

Lattice parameters (Å, degrees): 4.7682 4.7682 4.7682 60.00 60.00 60.00
Fractional coordinates of all 3 atoms:
Br1 0.5000 0.5000 0.5000
Ta1 0.7500 0.7500 0.7500
Tl1 0.0000 0.0000 0.0000

***

# CeHoEr

A relaxed CeHoEr crystal (PBE, Alexandria).

Computed properties:
Calculated density, g/cm³: 8.5
Polymorph energy (0 for the lowest one), kcal/mol of atoms: 1.79
Formation energy, eV per atom: 0.139
Magnetic moment, μB per cell: 4.001
V, Å³/atom: 30.77
Crystal system: monoclinic
VASP energy, eV per atom: -4.886

Lattice parameters (Å, degrees): 6.5626 10.1999 6.5261 90.00 122.30 90.00
Site moments in Bohr magnetons follow the coordinates.
Fractional coordinates of all 12 atoms:
Er1 0.4299 0.0436 0.2239  -0.07
Ce1 0.4406 0.2762 0.8054  -0.70
Er2 0.5701 0.9564 0.7761  -0.07
Er3 0.0701 0.5436 0.7761  -0.07
Ho1 0.0362 0.8742 0.6910  -0.05
Er4 0.9299 0.4564 0.2239  -0.07
Ce2 0.9406 0.2238 0.8054  -0.70
Ho2 0.9638 0.1258 0.3090  -0.05
Ho3 0.5362 0.6258 0.6910  -0.05
Ce3 0.0594 0.7762 0.1946  -0.70
Ce4 0.5594 0.7238 0.1946  -0.70
Ho4 0.4638 0.3742 0.3090  -0.05

***

# Pm2CoTe

A relaxed Pm2CoTe crystal (PBE, Alexandria).

Computed properties:
Calculated density, g/cm³: 7.3
Polymorph energy (0 for the lowest one), kcal/mol of atoms: 0.00
Magnetic moment, μB per cell: 0.000
ΔE_f (raw), eV per atom: -0.607
V, Å³/atom: 27.18
Crystal system: trigonal
VASP energy, eV per atom: -5.544

Lattice parameters (Å, degrees): 4.1085 4.1085 7.8059 74.74 74.74 60.00
Fractional coordinates of all 4 atoms:
Pm1 0.2363 0.2363 0.2911
Co1 0.5000 0.5000 0.5000
Pm2 0.7637 0.7637 0.7089
Te1 0.0000 0.0000 0.0000

***

# SrY2Sb

A relaxed SrY2Sb crystal (PBE, Alexandria).

Computed properties:
Calculated density, g/cm³: 5.2
Magnetic moment, μB per cell: 1.096
ΔE_f (raw), eV per atom: -0.112
V, Å³/atom: 31.13
Crystal system: cubic
VASP energy, eV per atom: -4.795

Lattice parameters (Å, degrees): 5.6048 5.6048 5.6048 60.00 60.00 60.00
Site moments in Bohr magnetons follow the coordinates.
Fractional coordinates of all 4 atoms:
Y1 0.0000 0.0000 0.0000  0.32
Y2 0.2500 0.2500 0.2500  0.22
Sr1 0.7500 0.7500 0.7500  0.05
Sb1 0.5000 0.5000 0.5000  -0.01

***

# BaPmNb2O8

A relaxed BaPmNb2O8 crystal (PBE, Alexandria).

Computed properties:
Calculated density, g/cm³: 4.0
Magnetic moment, μB per cell: 1.103
ΔE_f (raw), eV per atom: -2.625
V, Å³/atom: 20.72
Crystal system: trigonal
VASP energy, eV per atom: -8.165

Lattice parameters (Å, degrees): 6.1156 6.1156 7.6778 90.00 90.00 120.00
Site moments in Bohr magnetons follow the coordinates.
Fractional coordinates of all 12 atoms:
Pm1 0.0000 0.0000 0.0000  -0.01
O1 0.1633 0.8367 0.7947  0.10
O2 0.8367 0.6734 0.2053  0.10
O3 0.3333 0.6667 0.4821  0.20
O4 0.3266 0.1633 0.2053  0.10
Ba1 0.0000 0.0000 0.5000  0.00
O5 0.1633 0.3266 0.7947  0.10
Nb1 0.6667 0.3333 0.2778  -0.05
O6 0.8367 0.1633 0.2053  0.10
O7 0.6734 0.8367 0.7947  0.10
O8 0.6667 0.3333 0.5179  0.20
Nb2 0.3333 0.6667 0.7222  -0.05

***

# Ce3Ga2C

A relaxed Ce3Ga2C crystal (PBE, Alexandria).

Computed properties:
Calculated density, g/cm³: 6.9
Formation energy, eV per atom: -0.274
Magnetic moment, μB per cell: 0.637
V, Å³/atom: 22.93
Crystal system: monoclinic
VASP energy, eV per atom: -5.787

Lattice parameters (Å, degrees): 7.4649 6.1355 6.1355 86.63 81.84 81.84
Site moments in Bohr magnetons follow the coordinates.
Fractional coordinates of all 12 atoms:
Ce1 0.9855 0.8894 0.8065  0.03
Ce2 0.5145 0.1935 0.1106  0.03
Ga1 0.8327 0.4215 0.8289  0.00
Ga2 0.3327 0.8289 0.4215  0.00
Ce3 0.0145 0.1106 0.1935  0.03
Ce4 0.7500 0.6380 0.3620  0.23
Ce5 0.2500 0.3620 0.6380  0.23
C1 0.7500 0.9048 0.0952  0.00
Ga3 0.6673 0.1711 0.5785  0.00
C2 0.2500 0.0952 0.9048  0.00
Ce6 0.4855 0.8065 0.8894  0.03
Ga4 0.1673 0.5785 0.1711  0.00

***

# Pm6Nd8Sc

A relaxed Pm6Nd8Sc crystal (PBE, Alexandria).

Computed properties:
Calculated density, g/cm³: 6.6
Formation energy, eV per atom: 0.112
Magnetic moment, μB per cell: 0.000
V, Å³/atom: 34.63
Crystal system: trigonal
VASP energy, eV per atom: -4.754

Lattice parameters (Å, degrees): 8.8040 8.8040 8.8040 63.46 63.46 63.46
Fractional coordinates of all 15 atoms:
Sc1 0.0000 0.0000 0.0000
Nd1 0.5780 0.5780 0.5780
Pm1 0.4572 0.7621 0.9020
Nd2 0.8875 0.2825 0.2461
Pm2 0.5428 0.2379 0.0980
Pm3 0.0980 0.5428 0.2379
Nd3 0.1125 0.7175 0.7539
Nd4 0.7175 0.7539 0.1125
Pm4 0.2379 0.0980 0.5428
Pm5 0.7621 0.9020 0.4572
Nd5 0.4220 0.4220 0.4220
Nd6 0.2825 0.2461 0.8875
Nd7 0.7539 0.1125 0.7175
Pm6 0.9020 0.4572 0.7621
Nd8 0.2461 0.8875 0.2825

***

# Tl2Au2I5

A relaxed Tl2Au2I5 crystal (PBE, Alexandria).

Computed properties:
Calculated density, g/cm³: 6.8
Polymorph energy (0 for the lowest one), kcal/mol of atoms: 0.00
Magnetic moment, μB per cell: 0.000
ΔE_f (raw), eV per atom: -0.268
V, Å³/atom: 39.22
Crystal system: orthorhombic
VASP energy, eV per atom: -2.383

Lattice parameters (Å, degrees): 8.6285 8.1381 11.6734 110.40 111.69 90.00
Fractional coordinates of all 18 atoms:
I1 0.1294 0.6857 0.5000
I2 0.8706 0.1857 0.5000
Au1 0.0000 0.9681 0.0000
Au2 0.7697 0.8758 0.5000
I3 0.7609 0.7417 0.0363
Tl1 0.8553 0.3884 0.7964
I4 0.2046 0.0814 0.2842
Au3 0.2303 0.3758 0.5000
I5 0.2246 0.2054 0.9637
I6 0.4205 0.2973 0.7158
Tl2 0.1447 0.5921 0.2036
I7 0.2391 0.7054 0.9637
Tl3 0.4410 0.8884 0.7964
Tl4 0.5590 0.0921 0.2036
Au4 0.5000 0.4681 0.0000
I8 0.5795 0.5814 0.2842
I9 0.7954 0.7973 0.7158
I10 0.7754 0.2417 0.0363

***

# K2CuSeI

A relaxed K2CuSeI crystal (PBE, Alexandria).

Computed properties:
Calculated density, g/cm³: 3.1
Magnetic moment, μB per cell: 0.000
ΔE_f (raw), eV per atom: -0.887
V, Å³/atom: 37.17
Crystal system: tetragonal
VASP energy, eV per atom: -3.152

Lattice parameters (Å, degrees): 6.4346 6.4346 4.4886 90.00 90.00 90.00
Fractional coordinates of all 5 atoms:
Cu1 0.0000 0.0000 0.5000
K1 0.0000 0.5000 0.0000
K2 0.5000 0.0000 0.0000
Se1 0.0000 0.0000 0.0000
I1 0.5000 0.5000 0.5000